(i)
## Pm3Nd5Tm3 (GGA-PBE)

Data for a geometry-optimized Pm3Nd5Tm3 structure.

abc: 9.7862 9.7862 5.5440
angles: 90.00 90.00 120.00
Last column: nearest neighbours and their distance in Å.
Atoms (fractional coordinates):
Pm  0.0000  0.4310  0.0000  2 Nd 3.20, 2 Tm 3.40
Pm  0.4310  0.0000  0.0000  2 Nd 3.20, 2 Tm 3.40
Pm  0.5690  0.5690  0.0000  2 Nd 3.20, 2 Tm 3.40
Nd  0.0000  0.2683  0.5000  2 Pm 3.20, 3 Tm 3.23-3.56
Nd  0.2683  0.0000  0.5000  2 Pm 3.20, 3 Tm 3.23-3.56
Nd  0.3333  0.6667  0.5000  3 Tm 3.11
Nd  0.6667  0.3333  0.5000  3 Tm 3.11
Nd  0.7317  0.7317  0.5000  2 Pm 3.20, 3 Tm 3.23-3.56
Tm  0.0000  0.6319  0.5000  4 Nd 3.11-3.23, 2 Pm 3.40
Tm  0.3681  0.3681  0.5000  4 Nd 3.11-3.23, 2 Pm 3.40
Tm  0.6319  0.0000  0.5000  4 Nd 3.11-3.23, 2 Pm 3.40

Results
Magnetization = 0.01 μB per formula unit
Calculated density = 6.006 g/cm³
Density of states at the Fermi level = 18.8 states/eV/f.u.

(ii)
## Pm3Nd5Tm3 (GGA-PBE)

Data for a geometry-optimized Pm3Nd5Tm3 structure.

abc: 11.3551 11.3551 3.4650
angles: 90.00 90.00 120.00
Last column: nearest neighbours and their distance in Å.
Atoms (fractional coordinates):
Pm  0.0000  0.4028  0.0000  2 Tm 3.27, 2 Nd 3.43, 2 Pm 3.46
Pm  0.4028  0.0000  0.0000  2 Tm 3.27, 2 Nd 3.43, 2 Pm 3.46
Pm  0.5972  0.5972  0.0000  2 Tm 3.27, 2 Nd 3.43, 2 Pm 3.46
Nd  0.0000  0.6634  0.5000  2 Tm 3.31, 2 Pm 3.43, 2 Nd 3.46
Nd  0.3333  0.6667  0.5000  5 Nd 3.46-3.77, 6 Pm 3.87
Nd  0.3366  0.3366  0.5000  2 Tm 3.31, 2 Pm 3.43, 2 Nd 3.46
Nd  0.6634  0.0000  0.5000  2 Tm 3.31, 2 Pm 3.43, 2 Nd 3.46
Nd  0.6667  0.3333  0.5000  5 Nd 3.46-3.77, 6 Pm 3.87
Tm  0.0000  0.1588  0.5000  4 Tm 3.12-3.46, 2 Pm 3.27, 2 Nd 3.31
Tm  0.1588  0.0000  0.5000  4 Tm 3.12-3.46, 2 Pm 3.27, 2 Nd 3.31
Tm  0.8412  0.8412  0.5000  4 Tm 3.12-3.46, 2 Pm 3.27, 2 Nd 3.31

Results
Magnetization = 0.00 μB per formula unit
Calculated density = 7.137 g/cm³
Density of states at the Fermi level = 16.9 states/eV/f.u.

Most stable of them? (ii).

(i)
## Pm2Nd3Tm4 (GGA-PBE)

Data for a geometry-optimized Pm2Nd3Tm4 structure.

abc: 10.0881 10.0881 6.1471
angles: 96.04 96.04 71.14
Last column: nearest neighbours and their distance in Å.
Atoms (fractional coordinates):
Pm  0.0162  0.7603  0.7140  5 Nd 3.31-3.69, 3 Tm 3.45-3.47, 1 Pm 3.64
Pm  0.2397  0.9838  0.7860  5 Nd 3.31-3.69, 3 Tm 3.45-3.47, 1 Pm 3.64
Pm  0.7603  0.0162  0.2140  5 Nd 3.31-3.69, 3 Tm 3.45-3.47, 1 Pm 3.64
Pm  0.9838  0.2397  0.2860  5 Nd 3.31-3.69, 3 Tm 3.45-3.47, 1 Pm 3.64
Nd  0.1328  0.8672  0.2500  4 Tm 3.53-3.78, 6 Pm 3.56-3.59, 2 Nd 3.94
Nd  0.1931  0.4824  0.4085  2 Pm 3.31-3.69, 8 Tm 3.39-3.62
Nd  0.4824  0.1931  0.9085  2 Pm 3.31-3.69, 8 Tm 3.39-3.62
Nd  0.5176  0.8069  0.0915  2 Pm 3.31-3.69, 8 Tm 3.39-3.62
Nd  0.8069  0.5176  0.5915  2 Pm 3.31-3.69, 8 Tm 3.39-3.62
Nd  0.8672  0.1328  0.7500  4 Tm 3.53-3.78, 6 Pm 3.56-3.59, 2 Nd 3.94
Tm  0.1156  0.3474  0.8620  5 Nd 3.39-3.78, 2 Tm 3.43-3.59, 2 Pm 3.46-3.47
Tm  0.3280  0.5563  0.9599  3 Tm 3.28-3.43, 1 Pm 3.45, 5 Nd 3.45-3.62
Tm  0.3474  0.1156  0.3620  5 Nd 3.39-3.78, 2 Tm 3.43-3.59, 2 Pm 3.46-3.47
Tm  0.4437  0.6720  0.5401  3 Tm 3.28-3.43, 1 Pm 3.45, 5 Nd 3.45-3.62
Tm  0.5563  0.3280  0.4599  3 Tm 3.28-3.43, 1 Pm 3.45, 5 Nd 3.45-3.62
Tm  0.6526  0.8844  0.6380  5 Nd 3.39-3.78, 2 Tm 3.43-3.59, 2 Pm 3.46-3.47
Tm  0.6720  0.4437  0.0401  3 Tm 3.28-3.43, 1 Pm 3.45, 5 Nd 3.45-3.62
Tm  0.8844  0.6526  0.1380  5 Nd 3.39-3.78, 2 Tm 3.43-3.59, 2 Pm 3.46-3.47

Results
Magnetization = 0.00 μB per formula unit
Calculated density = 7.911 g/cm³
Density of states at the Fermi level = 13.2 states/eV/f.u.

(ii)
## Pm2Nd3Tm4 (GGA-PBE)

Data for a geometry-optimized Pm2Nd3Tm4 structure.

abc: 6.2098 6.2157 8.0110
angles: 75.17 82.65 80.50
Last column: nearest neighbours and their distance in Å.
Atoms (fractional coordinates):
Pm  0.1674  0.3319  0.1669  7 Tm 3.56-3.61, 4 Nd 3.58-3.60, 1 Pm 3.60
Pm  0.8326  0.6681  0.8331  7 Tm 3.56-3.61, 4 Nd 3.58-3.60, 1 Pm 3.60
Nd  0.3899  0.4418  0.7231  6 Tm 3.56-3.62, 3 Nd 3.58-3.61, 3 Pm 3.58-3.60
Nd  0.5000  0.0000  0.5000  6 Tm 3.57-3.61, 4 Nd 3.58-3.61, 2 Pm 3.58
Nd  0.6101  0.5582  0.2769  6 Tm 3.56-3.62, 3 Nd 3.58-3.61, 3 Pm 3.58-3.60
Tm  0.0528  0.7778  0.3881  4 Tm 3.56-3.59, 5 Nd 3.56-3.62, 3 Pm 3.59
Tm  0.2736  0.8900  0.9465  4 Tm 3.53-3.61, 4 Pm 3.56-3.61, 4 Nd 3.58-3.61
Tm  0.7264  0.1100  0.0535  4 Tm 3.53-3.61, 4 Pm 3.56-3.61, 4 Nd 3.58-3.61
Tm  0.9472  0.2222  0.6119  4 Tm 3.56-3.59, 5 Nd 3.56-3.62, 3 Pm 3.59

Results
Magnetization = 0.00 μB per formula unit
Calculated density = 7.909 g/cm³
Density of states at the Fermi level = 12.8 states/eV/f.u.

Most stable of them? (ii).

(i)
## Pm2NdTm3 (GGA-PBE)

Data for a geometry-optimized Pm2NdTm3 structure.

abc: 8.1091 8.1091 6.3687
angles: 90.00 90.00 108.43
Last column: nearest neighbours and their distance in Å.
Atoms (fractional coordinates):
Pm  0.1246  0.2381  0.0000  4 Tm 3.35-3.50, 3 Pm 3.44-3.52
Pm  0.2381  0.1246  0.5000  4 Tm 3.35-3.50, 3 Pm 3.44-3.52
Pm  0.7619  0.8754  0.0000  4 Tm 3.35-3.50, 3 Pm 3.44-3.52
Pm  0.8754  0.7619  0.5000  4 Tm 3.35-3.50, 3 Pm 3.44-3.52
Nd  0.3256  0.6744  0.7257  7 Tm 3.17-3.55
Nd  0.6744  0.3256  0.2257  7 Tm 3.17-3.55
Tm  0.0154  0.6213  0.0493  2 Nd 3.17-3.24, 3 Pm 3.35-3.50, 1 Tm 3.44
Tm  0.3787  0.9846  0.0493  2 Nd 3.17-3.24, 3 Pm 3.35-3.50, 1 Tm 3.44
Tm  0.4171  0.5829  0.2499  3 Nd 3.26-3.55, 2 Pm 3.43, 2 Tm 3.60
Tm  0.5829  0.4171  0.7499  3 Nd 3.26-3.55, 2 Pm 3.43, 2 Tm 3.60
Tm  0.6213  0.0154  0.5493  2 Nd 3.17-3.24, 3 Pm 3.35-3.50, 1 Tm 3.44
Tm  0.9846  0.3787  0.5493  2 Nd 3.17-3.24, 3 Pm 3.35-3.50, 1 Tm 3.44

Results
Magnetization = 0.00 μB per formula unit
Calculated density = 7.866 g/cm³
Density of states at the Fermi level = 9.0 states/eV/f.u.

(ii)
## Pm2NdTm3 (GGA-PBE)

Data for a geometry-optimized Pm2NdTm3 structure.

abc: 6.6471 6.6471 8.9721
angles: 97.84 97.84 95.24
Last column: nearest neighbours and their distance in Å.
Atoms (fractional coordinates):
Pm  0.1236  0.6301  0.8738  2 Pm 3.43-3.52, 9 Tm 3.65-3.75, 3 Nd 3.69-3.75
Pm  0.3699  0.8764  0.6262  2 Pm 3.43-3.52, 9 Tm 3.65-3.75, 3 Nd 3.69-3.75
Pm  0.6301  0.1236  0.3738  2 Pm 3.43-3.52, 9 Tm 3.65-3.75, 3 Nd 3.69-3.75
Pm  0.8764  0.3699  0.1262  2 Pm 3.43-3.52, 9 Tm 3.65-3.75, 3 Nd 3.69-3.75
Nd  0.4144  0.5856  0.2500  5 Tm 3.27-3.48
Nd  0.5856  0.4144  0.7500  5 Tm 3.27-3.48
Tm  0.0810  0.9190  0.2500  4 Tm 3.27-3.47, 1 Nd 3.27, 2 Pm 3.65
Tm  0.1667  0.3341  0.5012  3 Tm 3.27-3.47, 2 Nd 3.28-3.48
Tm  0.3341  0.1667  0.0012  3 Tm 3.27-3.47, 2 Nd 3.28-3.48
Tm  0.6659  0.8333  0.9988  3 Tm 3.27-3.47, 2 Nd 3.28-3.48
Tm  0.8333  0.6659  0.4988  3 Tm 3.27-3.47, 2 Nd 3.28-3.48
Tm  0.9190  0.0810  0.7500  4 Tm 3.27-3.47, 1 Nd 3.27, 2 Pm 3.65

Results
Magnetization = 0.00 μB per formula unit
Calculated density = 8.084 g/cm³
Density of states at the Fermi level = 8.8 states/eV/f.u.

Most stable of them? (ii).

(i)
## Pm3Nd7Tm2 (GGA-PBE)

Data for a geometry-optimized Pm3Nd7Tm2 structure.

abc: 5.9521 3.6221 19.2259
angles: 90.00 93.23 90.00
Last column: nearest neighbours and their distance in Å.
Atoms (fractional coordinates):
Pm  0.0000  0.0000  0.0000  8 Nd 3.46-3.48, 2 Pm 3.62
Pm  0.2841  0.5000  0.6338  2 Pm 3.62, 8 Nd 3.71-4.01, 4 Tm 3.71-3.75
Pm  0.7159  0.5000  0.3661  2 Pm 3.62, 8 Nd 3.71-4.01, 4 Tm 3.71-3.75
Nd  0.1816  0.5000  0.1461  2 Tm 3.41, 2 Pm 3.46, 7 Nd 3.48-3.62
Nd  0.2429  0.0000  0.4650  1 Tm 3.24, 4 Nd 3.26-3.62
Nd  0.3166  0.0000  0.8166  6 Nd 3.53-3.62, 2 Tm 3.67-3.70, 2 Pm 3.95
Nd  0.5000  0.5000  0.0000  4 Nd 3.48-3.62, 4 Pm 3.48
Nd  0.6834  0.0000  0.1834  6 Nd 3.53-3.62, 2 Tm 3.67-3.70, 2 Pm 3.95
Nd  0.7571  0.0000  0.5350  1 Tm 3.24, 4 Nd 3.26-3.62
Nd  0.8184  0.5000  0.8539  2 Tm 3.41, 2 Pm 3.46, 7 Nd 3.48-3.62
Tm  0.2070  0.0000  0.2963  3 Nd 3.24-3.41, 2 Tm 3.62
Tm  0.7930  0.0000  0.7037  3 Nd 3.24-3.41, 2 Tm 3.62

Results
Magnetization = 0.00 μB per formula unit
Calculated density = 7.153 g/cm³
Density of states at the Fermi level = 17.0 states/eV/f.u.

(ii)
## Pm3Nd7Tm2 (GGA-PBE)

Data for a geometry-optimized Pm3Nd7Tm2 structure.

abc: 11.9914 11.9914 11.9914
angles: 32.12 32.12 32.12
Last column: nearest neighbours and their distance in Å.
Atoms (fractional coordinates):
Pm  0.0000  0.0000  0.0000  6 Tm 3.83
Pm  0.1533  0.1533  0.1533  12 Nd 3.80-4.08, 3 Pm 3.94
Pm  0.8467  0.8467  0.8467  12 Nd 3.80-4.08, 3 Pm 3.94
Nd  0.0785  0.5858  0.5858  5 Nd 3.27-3.44, 2 Tm 3.43
Nd  0.4142  0.4142  0.9215  5 Nd 3.27-3.44, 2 Tm 3.43
Nd  0.4142  0.9215  0.4142  5 Nd 3.27-3.44, 2 Tm 3.43
Nd  0.5000  0.5000  0.5000  6 Nd 3.44
Nd  0.5858  0.0785  0.5858  5 Nd 3.27-3.44, 2 Tm 3.43
Nd  0.5858  0.5858  0.0785  5 Nd 3.27-3.44, 2 Tm 3.43
Nd  0.9215  0.4142  0.4142  5 Nd 3.27-3.44, 2 Tm 3.43
Tm  0.3339  0.3339  0.3339  6 Nd 3.43, 3 Pm 3.83, 3 Tm 3.83
Tm  0.6661  0.6661  0.6661  6 Nd 3.43, 3 Pm 3.83, 3 Tm 3.83

Results
Magnetization = 0.00 μB per formula unit
Calculated density = 6.834 g/cm³
Density of states at the Fermi level = 20.4 states/eV/f.u.

Most stable of them? (i).